1.
# Tb2Dy5Sc | Alexandria | PBE-GGA | optimized geometry
# E_tot (eV per atom): -4.797
# Magnetic moment (Bohr magnetons per cell): 0.00
data_Tb2Dy5Sc
_cell_length_a 7.027
_cell_length_b 14.064
_cell_length_c 4.957
_cell_angle_alpha 90.00
_cell_angle_beta 90.00
_cell_angle_gamma 90.00
_symmetry_space_group_name_H-M 'P b a m'
_symmetry_Int_Tables_number 55
loop_
_symmetry_equiv_pos_as_xyz
'x,y,z'
'-x,-y,-z'
'-x,-y,z'
'x,y,-z'
'x+1/2,-y+1/2,-z'
'-x+1/2,y+1/2,z'
'-x+1/2,y+1/2,-z'
'x+1/2,-y+1/2,z'
loop_
_atom_site_label
_atom_site_type_symbol
_atom_site_fract_x
_atom_site_fract_y
_atom_site_fract_z
_atom_site_occupancy
Tb1 Tb 0.248 0.124 0.000 1
Dy1 Dy 0.000 0.500 0.500 1
Dy2 Dy 0.001 0.752 0.500 1
Dy3 Dy 0.249 0.876 0.000 1
Sc1 Sc 0.000 0.000 0.500 1

---

2.
# Tb2Dy2Sc5 | Alexandria | PBE-GGA | optimized geometry
# E_tot (eV per atom): -5.498
# Magnetic moment (Bohr magnetons per cell): 0.00
data_Tb2Dy2Sc5
_cell_length_a 12.204
_cell_length_b 3.460
_cell_length_c 13.289
_cell_angle_alpha 90.00
_cell_angle_beta 115.99
_cell_angle_gamma 90.00
_symmetry_space_group_name_H-M 'C 1 2/m 1'
_symmetry_Int_Tables_number 12
loop_
_symmetry_equiv_pos_as_xyz
'x,y,z'
'-x,-y,-z'
'-x,y,-z'
'x,-y,z'
'x+1/2,y+1/2,z'
'-x+1/2,-y+1/2,-z'
'-x+1/2,y+1/2,-z'
'x+1/2,-y+1/2,z'
loop_
_atom_site_label
_atom_site_type_symbol
_atom_site_fract_x
_atom_site_fract_y
_atom_site_fract_z
_atom_site_occupancy
Tb1 Tb 0.223 0.000 0.369 1
Dy1 Dy 0.218 0.500 0.109 1
Sc1 Sc 0.000 0.000 0.500 1
Sc2 Sc 0.008 0.000 0.888 1
Sc3 Sc 0.045 0.500 0.708 1

---

no.,energy of formation from the pure elements (eV/atom),density of states at the Fermi level (states/eV/f.u.),E above lowest polymorph (eV per atom)
1,0.028,10.0,0.009
2,0.071,14.7,0.000